VASP calculation (PBEsol) on a relaxed structure of TaIr2.

Properties
**DOS(E_F)**: 2.11 states/eV per cell

abc: 4.415 4.415 2.736
angles: 90.00 90.00 120.00
Fractional coordinates of all 3 atoms:
Ta1 0.000 0.000 0.000
Ir1 0.333 0.667 0.738
Ir2 0.667 0.333 0.262



VASP calculation (PBEsol) on a relaxed structure of CrRuRh2.

Properties
**DOS(E_F)**: 3.24 states/eV per cell

abc: 2.649 4.196 4.621
angles: 90.00 90.00 90.00
Fractional coordinates of all 4 atoms:
Cr1 0.000 0.000 0.000
Ru1 0.000 0.500 0.318
Rh1 0.500 0.000 0.487
Rh2 0.500 0.500 0.828



These records have energy of formation values of -0.23; -0.08 eV per atom, in the order they appear.
These records have V values of 15.4; 12.8 Å³/atom, in the order they appear.
These records have raw total energy values of -10.960; -9.254 eV per atom, in the order they appear.